Ca4NiSe2 after structural relaxation, computed with PBE.

Cell: 5.1266 5.1266 8.5243 Å, 72.50 72.50 90.00°
Fractional coordinates of all 7 atoms:
1 Ca 0.8197 0.8197 0.3606
2 Ni 0.0000 0.0000 0.0000
3 Ca 0.5000 0.0000 0.0000
4 Se 0.3656 0.3656 0.2689
5 Ca 0.0000 0.5000 0.0000
6 Ca 0.1803 0.1803 0.6394
7 Se 0.6344 0.6344 0.7311

Computed properties:
Formation energy without anion corrections = -0.79 eV per atom
Space group = No. 139
Magnetization = 0.0 μB per cell